1.
Computed, not measured: a relaxed structure of HgAu2I6 at the PBE-GGA level of DFT.

Computed properties:
Raw formation energy, eV per atom: -0.062
Distance to the lowest polymorph of the same formula, eV/f.u.: 0.22
Space-group type: C2/c
Volume, A^3/atom: 46.109
E, Ry per atom: -0.1365

Cell lengths 7.0871, 12.3356, 12.3356 Å; angles 95.25, 64.68, 64.68 degrees
Fractional coordinates of all 18 atoms:
Hg: 0.2500 0.2093 0.7907
Hg: 0.7500 0.7907 0.2093
Au: 0.1833 0.6272 0.8003
Au: 0.3167 0.1997 0.3728
Au: 0.8167 0.3728 0.1997
Au: 0.6833 0.8003 0.6272
I: 0.4202 0.7045 0.6059
I: 0.0798 0.3941 0.2955
I: 0.5798 0.2955 0.3941
I: 0.9202 0.6059 0.7045
I: 0.8540 0.8447 0.3985
I: 0.6460 0.6015 0.1553
I: 0.1460 0.1553 0.6015
I: 0.3540 0.3985 0.8447
I: 0.1871 0.7540 0.9917
I: 0.3129 0.0083 0.2460
I: 0.8129 0.2460 0.0083
I: 0.6871 0.9917 0.7540


2.
Computed, not measured: a relaxed structure of KHfGe2 at the PBE-GGA level of DFT.

Computed properties:
Distance to the lowest polymorph of the same formula, eV/f.u.: 0.24
Space-group type: Fm-3m
Energy of formation from the pure elements, meV/atom: 308
Volume, A^3/atom: 22.229
E, Ry per atom: -0.3501

Cell lengths 5.0099, 5.0099, 5.0099 Å; angles 60.00, 60.00, 60.00 degrees
Fractional coordinates of all 4 atoms:
Ge: 0.2500 0.2500 0.2500
Ge: 0.7500 0.7500 0.7500
Hf: 0.5000 0.5000 0.5000
K: 0.0000 0.0000 0.0000


The highest E belongs to which entry? HgAu2I6


Look up the distance to the lowest polymorph of the same formula of the first one. 0.22 eV/f.u.


Among the records above, which one has the highest E? HgAu2I6


The highest E belongs to which entry? HgAu2I6